(1)
DFT (meta-GGA SCAN) results for Mg2SnB at its PBEsol-relaxed geometry.

The structure in POSCAR format:
```
Mg2SnB
1.0
-4.3222 -1.5311 0.9628
-0.6386 -3.3379 3.2253
-2.0006 1.0584 4.1024
Mg B Sn
2 1 1
direct
0.2500 0.2500 0.2500
0.7500 0.7500 0.7500
0.0000 0.0000 0.0000
0.5000 0.5000 0.5000
```

Calculated formation energy   13.152 kcal/mol of atoms
SG   Fm-3m
E above lowest polymorph   0 meV per atom
Total magnetization   0.00 Bohr magnetons per cell

---

(2)
DFT (meta-GGA SCAN) results for SrMg2B at its PBEsol-relaxed geometry.

The structure in POSCAR format:
```
SrMg2B
1.0
-3.6544 0.4295 -5.1632
-2.4318 -4.6496 5.2272
-4.7739 2.1761 3.5599
B Sr Mg
2 2 4
direct
0.5000 0.0000 0.5000
0.2500 0.5000 0.2500
0.7500 0.5000 0.7500
0.0000 0.0000 0.0000
0.8750 0.2500 0.3750
0.3750 0.7500 0.3750
0.3750 0.7500 0.8750
0.3750 0.2500 0.3750
```

Calculated formation energy   12.350 kcal/mol of atoms
SG   I4_1/amd
Total magnetization   0.00 Bohr magnetons per cell

---

(3)
DFT (meta-GGA SCAN) results for SrMg6B at its PBEsol-relaxed geometry.

The structure in POSCAR format:
```
SrMg6B
1.0
-3.6006 -1.1856 -2.4868
-1.8089 -3.5738 4.3230
-2.7555 7.0273 0.6393
Mg Sr B
6 1 1
direct
0.0000 0.8144 0.1635
0.5000 0.1881 0.8902
0.0000 0.3666 0.7333
0.0000 0.7958 0.5916
0.0000 0.3491 0.1635
0.5000 0.7021 0.8902
0.5000 0.2009 0.4019
0.5000 0.5829 0.1659
```

Calculated formation energy   6.455 kcal/mol of atoms
SG   Amm2
Total magnetization   0.00 Bohr magnetons per cell

---

(4)
DFT (meta-GGA SCAN) results for MgTc2B2 at its PBEsol-relaxed geometry.

The structure in POSCAR format:
```
MgTc2B2
1.0
3.0543 0.0000 0.0000
0.0000 5.8550 0.0000
0.0000 0.0000 5.8550
Tc B Mg
4 4 2
direct
0.5000 0.1708 0.6708
0.5000 0.3292 0.1708
0.5000 0.6708 0.8292
0.5000 0.8292 0.3292
0.0000 0.8876 0.6124
0.0000 0.1124 0.3876
0.0000 0.6124 0.1124
0.0000 0.3876 0.8876
0.0000 0.0000 0.0000
0.0000 0.5000 0.5000
```

Calculated formation energy   -8.733 kcal/mol of atoms
SG   P4/mbm
Total magnetization   0.00 Bohr magnetons per cell

---

(5)
DFT (meta-GGA SCAN) results for MgBTe2 at its PBEsol-relaxed geometry.

The structure in POSCAR format:
```
MgBTe2
1.0
4.3900 0.0000 0.0000
2.1950 3.8019 0.0000
2.1950 1.2673 7.1338
B Te Mg
1 2 1
direct
0.0000 0.0000 0.0000
0.0958 0.0958 0.7126
0.9042 0.9042 0.2874
0.5000 0.5000 0.5000
```

SG   R-3m
E_form (uncorrected)   0.2725 eV per atom
Total magnetization   0.56 Bohr magnetons per cell

---

(6)
DFT (meta-GGA SCAN) results for Mg2BTe at its PBEsol-relaxed geometry.

The structure in POSCAR format:
```
Mg2BTe
1.0
-0.1441 4.5385 1.4172
-3.5953 2.8028 -1.3583
-3.2556 1.3984 3.1737
B Mg Te
1 2 1
direct
0.0000 0.0000 0.0000
0.7500 0.7500 0.7500
0.2500 0.2500 0.2500
0.5000 0.5000 0.5000
```

SG   Fm-3m
E_form (uncorrected)   0.6172 eV per atom
Total magnetization   0.00 Bohr magnetons per cell

---

(7)
DFT (meta-GGA SCAN) results for MgBW2 at its PBEsol-relaxed geometry.

The structure in POSCAR format:
```
MgBW2
1.0
4.2152 0.0000 0.0000
2.1076 3.6504 0.0000
2.1076 1.2168 3.4417
Mg B W
1 1 2
direct
0.5000 0.5000 0.5000
0.0000 0.0000 0.0000
0.2500 0.2500 0.2500
0.7500 0.7500 0.7500
```

Calculated formation energy   28.573 kcal/mol of atoms
SG   Fm-3m
Total magnetization   0.00 Bohr magnetons per cell

---

(8)
DFT (meta-GGA SCAN) results for YMgZnB2 at its PBEsol-relaxed geometry.

The structure in POSCAR format:
```
YMgZnB2
1.0
-4.0399 0.5785 -0.8824
-0.2924 -3.9689 -1.2637
-1.0820 -1.2390 4.1417
B Zn Mg Y
2 1 1 1
direct
0.0000 0.5000 0.0000
0.5000 0.0000 0.0000
0.0000 0.0000 0.0000
0.0000 0.0000 0.5000
0.5000 0.5000 0.5000
```

Calculated formation energy   19.747 kcal/mol of atoms
SG   P4/mmm
Total magnetization   0.00 Bohr magnetons per cell

---

(9)
DFT (meta-GGA SCAN) results for Mg6ZnB at its PBEsol-relaxed geometry.

The structure in POSCAR format:
```
Mg6ZnB
1.0
3.6840 0.0000 0.0000
0.0000 6.4385 0.1124
0.0000 -1.0867 6.3471
Mg Zn B
6 1 1
direct
0.0000 0.3692 0.6308
0.5000 0.6917 0.9656
0.0000 0.8438 0.6297
0.5000 0.1298 0.8702
0.0000 0.3703 0.1562
0.5000 0.0344 0.3083
0.5000 0.5854 0.4146
0.0000 0.9753 0.0247
```

Calculated formation energy   3.677 kcal/mol of atoms
SG   Amm2
Total magnetization   0.05 Bohr magnetons per cell

---

(10)
DFT (meta-GGA SCAN) results for MgZnB3 at its PBEsol-relaxed geometry.

The structure in POSCAR format:
```
MgZnB3
1.0
-2.2484 -2.2039 2.8727
3.5970 -1.7464 1.4755
0.4141 3.2029 2.7813
B Mg Zn
3 1 1
direct
0.5000 0.0000 0.0000
0.0000 0.5000 0.0000
0.0000 0.0000 0.5000
0.0000 0.0000 0.0000
0.5000 0.5000 0.5000
```

Calculated formation energy   53.946 kcal/mol of atoms
SG   Pm-3m
Total magnetization   0.00 Bohr magnetons per cell

---

(11)
DFT (meta-GGA SCAN) results for MgZn3B at its PBEsol-relaxed geometry.

The structure in POSCAR format:
```
MgZn3B
1.0
-2.2503 3.7151 -2.1453
1.1226 -1.8281 -4.3435
-4.1405 -2.5148 -0.0117
B Mg Zn
1 1 3
direct
0.5000 0.5000 0.5000
0.0000 0.0000 0.0000
0.0000 0.5000 0.0000
0.5000 0.0000 0.0000
0.0000 0.0000 0.5000
```

Calculated formation energy   36.865 kcal/mol of atoms
SG   Pm-3m
Total magnetization   0.00 Bohr magnetons per cell

---

(12)
DFT (meta-GGA SCAN) results for Mg2Zr2B at its PBEsol-relaxed geometry.

The structure in POSCAR format:
```
Mg2Zr2B
1.0
-0.2850 3.4841 0.4060
-3.4913 -0.3211 0.3050
2.6267 -2.4053 7.2312
Zr Mg B
2 2 1
direct
0.4211 0.4211 0.8422
0.5789 0.5789 0.1578
0.2500 0.7500 0.5000
0.7500 0.2500 0.5000
0.0000 0.0000 0.0000
```

Calculated formation energy   15.745 kcal/mol of atoms
SG   I4/mmm
Total magnetization   0.00 Bohr magnetons per cell

---

(13)
DFT (meta-GGA SCAN) results for Mn2B4Mo at its PBEsol-relaxed geometry.

The structure in POSCAR format:
```
Mn2B4Mo
1.0
2.9900 0.0000 0.0000
0.0000 3.0441 0.0000
-1.4950 -1.5221 6.3759
Mo B Mn
1 4 2
direct
0.5000 0.0000 0.0000
0.3514 0.3514 0.7028
0.6486 0.6486 0.2972
0.0721 0.5721 0.1442
0.9279 0.4279 0.8558
0.8138 0.8138 0.6277
0.1862 0.1862 0.3723
```

Calculated formation energy   -11.561 kcal/mol of atoms
SG   Immm
Total magnetization   4.02 Bohr magnetons per cell

---

(14)
DFT (meta-GGA SCAN) results for MnB4Mo3 at its PBEsol-relaxed geometry.

The structure in POSCAR format:
```
MnB4Mo3
1.0
-1.3103 0.0608 -2.7425
-1.0855 -4.2668 0.4240
-4.4834 3.5726 2.2212
B Mo Mn
4 3 1
direct
0.5000 0.8864 0.2162
0.0000 0.1328 0.2718
0.0000 0.1247 0.7929
0.5000 0.8804 0.7246
0.0000 0.7050 0.9317
0.0000 0.7079 0.4217
0.5000 0.2900 0.5733
0.5000 0.2727 0.0676
```

Calculated formation energy   -10.632 kcal/mol of atoms
SG   Pm
Total magnetization   2.50 Bohr magnetons per cell

---

(15)
DFT (meta-GGA SCAN) results for Mn2BMoN at its PBEsol-relaxed geometry.

The structure in POSCAR format:
```
Mn2BMoN
1.0
3.7057 0.0000 0.0000
0.0000 3.7057 0.0000
0.0000 0.0000 4.1987
Mn N B Mo
2 1 1 1
direct
0.5000 0.0000 0.0000
0.0000 0.5000 0.0000
0.5000 0.5000 0.5000
0.0000 0.0000 0.0000
0.0000 0.0000 0.5000
```

SG   P4/mmm
E_form (uncorrected)   0.9758 eV per atom
Total magnetization   5.37 Bohr magnetons per cell

---

(16)
DFT (meta-GGA SCAN) results for MnB2RhN at its PBEsol-relaxed geometry.

The structure in POSCAR format:
```
MnB2RhN
1.0
3.4940 0.0000 0.0000
0.0000 3.4940 0.0000
0.0000 0.0000 3.9218
Rh B N Mn
1 2 1 1
direct
0.0000 0.0000 0.5000
0.5000 0.0000 0.0000
0.0000 0.5000 0.0000
0.0000 0.0000 0.0000
0.5000 0.5000 0.5000
```

SG   P4/mmm
E_form (uncorrected)   1.1469 eV per atom
Total magnetization   3.48 Bohr magnetons per cell

---

(17)
DFT (meta-GGA SCAN) results for MnBSN2 at its PBEsol-relaxed geometry.

The structure in POSCAR format:
```
MnBSN2
1.0
3.4439 0.0000 0.0000
0.0000 3.4439 0.0000
0.0000 0.0000 4.9020
B N Mn S
1 2 1 1
direct
0.5000 0.5000 0.5000
0.0000 0.5000 0.0000
0.5000 0.0000 0.0000
0.0000 0.0000 0.0000
0.0000 0.0000 0.5000
```

SG   P4/mmm
E_form (uncorrected)   1.2127 eV per atom
Total magnetization   0.00 Bohr magnetons per cell

---

(18)
DFT (meta-GGA SCAN) results for MnBTe2N at its PBEsol-relaxed geometry.

The structure in POSCAR format:
```
MnBTe2N
1.0
-3.1118 0.0354 -1.2941
-1.0117 -4.3800 2.3128
-1.6575 2.5239 4.0546
Te Mn N B
2 1 1 1
direct
0.0000 0.5000 0.0000
0.0000 0.0000 0.5000
0.0000 0.0000 0.0000
0.5000 0.0000 0.0000
0.5000 0.5000 0.5000
```

SG   P4/mmm
E_form (uncorrected)   0.9044 eV per atom
Total magnetization   0.00 Bohr magnetons per cell

---

(19)
DFT (meta-GGA SCAN) results for NaMnBO3 at its PBEsol-relaxed geometry.

The structure in POSCAR format:
```
NaMnBO3
1.0
-1.2476 -0.8853 4.8381
1.6726 -4.2814 2.3087
4.3855 2.5443 2.7574
Na O B Mn
2 6 2 2
direct
0.6647 0.6707 0.7500
0.3353 0.3293 0.2500
0.6248 0.1852 0.8045
0.8240 0.3521 0.2500
0.1760 0.6479 0.7500
0.8099 0.8148 0.3045
0.3752 0.8148 0.1955
0.1901 0.1852 0.6955
0.6690 0.6621 0.2500
0.3310 0.3379 0.7500
0.0000 0.0000 0.5000
0.0000 0.0000 0.0000
```

SG   C2/c
E_form (uncorrected)   -2.2707 eV per atom
Total magnetization   10.00 Bohr magnetons per cell

---

(20)
DFT (meta-GGA SCAN) results for Na3Mn2BO6 at its PBEsol-relaxed geometry.

The structure in POSCAR format:
```
Na3Mn2BO6
1.0
-1.4062 0.1785 -2.5074
-3.3088 -4.3444 -0.1078
-7.3287 4.5596 2.7937
Mn B O Na
2 1 6 3
direct
0.8387 0.9732 0.3482
0.1613 0.0268 0.6518
0.0000 0.0000 0.0000
0.7992 0.8058 0.5965
0.1380 0.7801 0.9479
0.8620 0.2199 0.0521
0.5270 0.2331 0.7145
0.4730 0.7669 0.2855
0.2008 0.1942 0.4035
0.1709 0.4860 0.1698
0.5000 0.5000 0.5000
0.8291 0.5140 0.8302
```

SG   P-1
E_form (uncorrected)   -2.1346 eV per atom
Total magnetization   8.00 Bohr magnetons per cell

---

(21)
DFT (meta-GGA SCAN) results for Na6Mn2B4SO16 at its PBEsol-relaxed geometry.

The structure in POSCAR format:
```
Na6Mn2B4SO16
1.0
-9.2061 -0.7396 3.0113
-4.5492 -8.5763 -0.3452
-2.0538 -4.7432 8.2250
Na O B Mn S
12 32 8 4 2
direct
0.2187 0.2187 0.7813
0.2187 0.7813 0.7813
0.0313 0.4687 0.4687
0.7813 0.2187 0.2187
0.2187 0.7813 0.2187
0.7813 0.2187 0.7813
0.4687 0.0313 0.4687
0.7813 0.7813 0.2187
0.4687 0.4687 0.0313
0.0313 0.0313 0.4687
0.0313 0.4687 0.0313
0.4687 0.0313 0.0313
0.8119 0.0627 0.0627
0.8042 0.4878 0.7150
0.2571 0.4458 0.5350
0.5350 0.7622 0.2571
0.0627 0.8119 0.0627
0.4381 0.1873 0.1873
0.8042 0.7150 0.9929
0.1873 0.4381 0.1873
0.7622 0.4458 0.2571
0.4878 0.8042 0.9929
0.7150 0.4878 0.9929
0.7622 0.2571 0.5350
0.9929 0.7150 0.4878
0.5350 0.2571 0.4458
0.4458 0.5350 0.2571
0.4878 0.7150 0.8042
0.2571 0.5350 0.7622
0.1873 0.1873 0.4381
0.7622 0.5350 0.4458
0.0627 0.0627 0.0627
0.4458 0.7622 0.5350
0.7150 0.9929 0.8042
0.7150 0.8042 0.4878
0.9929 0.4878 0.8042
0.4458 0.2571 0.7622
0.8042 0.9929 0.4878
0.1873 0.1873 0.1873
0.9929 0.8042 0.7150
0.4878 0.9929 0.7150
0.2571 0.7622 0.4458
0.5350 0.4458 0.7622
0.0627 0.0627 0.8119
0.8352 0.4945 0.8352
0.4945 0.8352 0.8352
0.8352 0.8352 0.8352
0.4148 0.7555 0.4148
0.7555 0.4148 0.4148
0.4148 0.4148 0.7555
0.4148 0.4148 0.4148
0.8352 0.8352 0.4945
0.1250 0.6250 0.6250
0.6250 0.6250 0.1250
0.6250 0.1250 0.6250
0.6250 0.6250 0.6250
0.2500 0.2500 0.2500
0.0000 0.0000 0.0000
```

SG   Fd-3
E_form (uncorrected)   -2.2882 eV per atom
Total magnetization   11.93 Bohr magnetons per cell

---

(22)
DFT (meta-GGA SCAN) results for Na3MnBSO7 at its PBEsol-relaxed geometry.

The structure in POSCAR format:
```
Na3MnBSO7
1.0
5.2435 0.0000 -0.0119
0.0000 6.8368 0.0000
-0.1109 0.0000 8.9768
O S B Na Mn
14 2 2 6 2
direct
0.2836 0.0749 0.1712
0.6584 0.7500 0.0638
0.7866 0.2500 0.4117
0.2134 0.7500 0.5883
0.2836 0.4251 0.1712
0.4668 0.7500 0.3635
0.5332 0.2500 0.6365
0.3416 0.2500 0.9362
0.7164 0.5749 0.8288
0.0723 0.7500 0.9453
0.9277 0.2500 0.0547
0.9808 0.2500 0.6583
0.0192 0.7500 0.3417
0.7164 0.9251 0.8288
0.2107 0.2500 0.0819
0.7893 0.7500 0.9181
0.7660 0.2500 0.5623
0.2340 0.7500 0.4377
0.7527 0.7500 0.5641
0.2620 0.4915 0.7375
0.7380 0.9915 0.2625
0.7380 0.5085 0.2625
0.2473 0.2500 0.4359
0.2620 0.0085 0.7375
0.7438 0.2500 0.8371
0.2562 0.7500 0.1629
```

SG   P2_1/m
E_form (uncorrected)   -2.0916 eV per atom
Total magnetization   10.00 Bohr magnetons per cell

---

VASP energy in eV per cell, matching the order above: -51.017 -75.020 -57.308 -183.692 -85.815 -52.159 -146.823 -56.909 -49.511 -29.081 -44.956 -75.360 -104.623 -156.317 -83.237 -70.442 -47.831 -104.956 -124.435 -119.587 -534.409 -237.534